No. 1
A geometry-optimized Y3CoC structure. Source: Alexandria, functional GGA-PBEsol.

Calculated values
calculated formation energy = 0.965 eV per atom
symmetry = Pm-3m

abc: 4.8991 4.8991 4.8991
angles: 90.00 90.00 90.00
Sites, in units of the cell vectors:
Y  0.0000  0.5000  0.0000
Y  0.0000  0.0000  0.5000
Y  0.5000  0.0000  0.0000
C  0.5000  0.5000  0.5000
Co  0.0000  0.0000  0.0000



No. 2
A geometry-optimized ZnCo3C structure. Source: Alexandria, functional GGA-PBEsol.

Calculated values
calculated formation energy = -0.071 eV per atom
symmetry = Pm-3m

abc: 3.6851 3.6851 3.6851
angles: 90.00 90.00 90.00
Sites, in units of the cell vectors:
Zn  0.5000  0.5000  0.5000
Co  0.0000  0.5000  0.0000
Co  0.0000  0.0000  0.5000
Co  0.5000  0.0000  0.0000
C  0.0000  0.0000  0.0000



No. 3
A geometry-optimized ZrCo2C structure. Source: Alexandria, functional GGA-PBEsol.

Calculated values
calculated formation energy = -0.077 eV per atom
symmetry = I-42d

abc: 4.8058 5.0732 5.0732
angles: 77.04 61.73 61.73
Sites, in units of the cell vectors:
C  0.2500  0.5000  0.5000
C  0.5000  0.0000  0.0000
Co  0.2507  0.8743  0.3743
Co  0.4993  0.1257  0.6257
Co  0.3750  0.3743  0.1257
Co  0.8750  0.6257  0.8743
Zr  0.7500  0.5000  0.5000
Zr  0.0000  0.0000  0.0000



No. 4
A geometry-optimized Zr3CoC structure. Source: Alexandria, functional GGA-PBEsol.

Calculated values
calculated formation energy = -0.150 eV per atom
symmetry = Pm-3m

abc: 4.4287 4.4287 4.4287
angles: 90.00 90.00 90.00
Sites, in units of the cell vectors:
C  0.0000  0.0000  0.0000
Co  0.5000  0.5000  0.5000
Zr  0.0000  0.5000  0.0000
Zr  0.0000  0.0000  0.5000
Zr  0.5000  0.0000  0.0000



No. 5
A geometry-optimized ZrCoC2 structure. Source: Alexandria, functional GGA-PBEsol.

Calculated values
calculated formation energy = 0.613 eV per atom
symmetry = Fm-3m

abc: 3.8224 3.8224 3.8224
angles: 60.00 60.00 60.00
Sites, in units of the cell vectors:
C  0.2500  0.2500  0.2500
C  0.7500  0.7500  0.7500
Co  0.0000  0.0000  0.0000
Zr  0.5000  0.5000  0.5000



No. 6
A geometry-optimized Cr3C2 structure. Source: Alexandria, functional GGA-PBEsol.

Calculated values
calculated formation energy = -0.209 eV per atom
symmetry = Pnma
ΔE to the lowest computed polymorph = 0.00 eV/f.u.

abc: 2.7603 5.4188 11.3563
angles: 90.00 90.00 90.00
Sites, in units of the cell vectors:
Cr  0.7500  0.9857  0.9027
Cr  0.2500  0.5143  0.4027
Cr  0.2500  0.0143  0.0973
Cr  0.7500  0.4857  0.5973
Cr  0.7500  0.8146  0.2736
Cr  0.2500  0.6854  0.7736
Cr  0.2500  0.1854  0.7264
Cr  0.7500  0.3146  0.2264
Cr  0.7500  0.1323  0.4318
Cr  0.2500  0.3677  0.9318
Cr  0.2500  0.8677  0.5682
Cr  0.7500  0.6323  0.0682
C  0.7500  0.9012  0.7022
C  0.2500  0.5988  0.2022
C  0.2500  0.0988  0.2978
C  0.7500  0.4012  0.7978
C  0.7500  0.7612  0.4511
C  0.2500  0.7388  0.9511
C  0.2500  0.2388  0.5489
C  0.7500  0.2612  0.0489



No. 7
A geometry-optimized Cr23C6 structure. Source: Alexandria, functional GGA-PBEsol.

Calculated values
calculated formation energy = -0.138 eV per atom
symmetry = Fm-3m

abc: 7.3739 7.3739 7.3739
angles: 60.00 60.00 60.00
Sites, in units of the cell vectors:
C  0.2764  0.7236  0.2764
C  0.7236  0.2764  0.7236
C  0.2764  0.2764  0.7236
C  0.7236  0.7236  0.2764
C  0.7236  0.2764  0.2764
C  0.2764  0.7236  0.7236
Cr  0.0000  0.0000  0.0000
Cr  0.2500  0.2500  0.2500
Cr  0.7500  0.7500  0.7500
Cr  0.0000  0.3397  0.0000
Cr  0.6603  0.0000  0.3397
Cr  0.3397  0.0000  0.6603
Cr  0.0000  0.6603  0.0000
Cr  0.0000  0.0000  0.3397
Cr  0.3397  0.6603  0.0000
Cr  0.6603  0.3397  0.0000
Cr  0.0000  0.0000  0.6603
Cr  0.3397  0.0000  0.0000
Cr  0.0000  0.3397  0.6603
Cr  0.0000  0.6603  0.3397
Cr  0.6603  0.0000  0.0000
Cr  0.3811  0.3811  0.3811
Cr  0.8566  0.3811  0.3811
Cr  0.3811  0.3811  0.8566
Cr  0.3811  0.8566  0.3811
Cr  0.1434  0.6189  0.6189
Cr  0.6189  0.6189  0.6189
Cr  0.6189  0.6189  0.1434
Cr  0.6189  0.1434  0.6189



No. 8
A geometry-optimized CrC4 structure. Source: Alexandria, functional GGA-PBEsol.

Calculated values
calculated formation energy = 0.922 eV per atom
symmetry = I4/mmm

abc: 2.5342 4.4372 4.4372
angles: 85.32 73.41 73.41
Sites, in units of the cell vectors:
Cr  0.0000  0.0000  0.0000
C  0.7203  0.5594  0.0000
C  0.7203  0.0000  0.5594
C  0.2797  0.4406  0.0000
C  0.2797  0.0000  0.4406



No. 9
A geometry-optimized CrC3 structure. Source: Alexandria, functional GGA-PBEsol.

Calculated values
calculated formation energy = 1.515 eV per atom
symmetry = P6_3/mmc
ΔE to the lowest computed polymorph = 0.00 eV/f.u.

abc: 4.1272 4.1272 4.3046
angles: 90.00 90.00 120.00
Sites, in units of the cell vectors:
Cr  0.6667  0.3333  0.7500
Cr  0.3333  0.6667  0.2500
C  0.2139  0.7861  0.7500
C  0.5721  0.7861  0.7500
C  0.2139  0.4279  0.7500
C  0.7861  0.2139  0.2500
C  0.4279  0.2139  0.2500
C  0.7861  0.5721  0.2500



No. 10
A geometry-optimized CrC structure. Source: Alexandria, functional GGA-PBEsol.

Calculated values
calculated formation energy = 0.555 eV per atom
symmetry = P4/nmm

abc: 2.8212 3.7011 3.7011
angles: 90.00 90.00 90.00
Sites, in units of the cell vectors:
Cr  0.0000  0.5000  0.5000
Cr  0.0000  0.0000  0.0000
C  0.1764  0.5000  0.0000
C  0.8236  0.0000  0.5000



No. 11
A geometry-optimized Cr4C3 structure. Source: Alexandria, functional GGA-PBEsol.

Calculated values
calculated formation energy = 0.076 eV per atom
symmetry = Pm-3m

abc: 3.9576 3.9576 3.9576
angles: 90.00 90.00 90.00
Sites, in units of the cell vectors:
C  0.0000  0.5000  0.0000
C  0.0000  0.0000  0.5000
C  0.5000  0.0000  0.0000
Cr  0.0000  0.0000  0.0000
Cr  0.0000  0.5000  0.5000
Cr  0.5000  0.0000  0.5000
Cr  0.5000  0.5000  0.0000



No. 12
A geometry-optimized CrC structure. Source: Alexandria, functional GGA-PBEsol.

Calculated values
calculated formation energy = -0.127 eV per atom
symmetry = P-6m2

abc: 2.6064 2.6696 2.6696
angles: 120.00 90.00 90.00
Sites, in units of the cell vectors:
Cr  0.0000  0.3333  0.6667
C  0.5000  0.0000  0.0000



No. 13
A geometry-optimized CrC structure. Source: Alexandria, functional GGA-PBEsol.

Calculated values
calculated formation energy = 0.582 eV per atom
symmetry = P6/mmm

abc: 3.0020 4.4531 4.4531
angles: 120.00 90.00 90.00
Sites, in units of the cell vectors:
Cr  0.0000  0.0000  0.0000
Cr  0.5000  0.6667  0.3333
Cr  0.5000  0.3333  0.6667
C  0.0000  0.5000  0.5000
C  0.0000  0.0000  0.5000
C  0.0000  0.5000  0.0000



No. 14
A geometry-optimized Cr3C2 structure. Source: Alexandria, functional GGA-PBEsol.

Calculated values
calculated formation energy = -0.172 eV per atom
symmetry = Cmcm
ΔE to the lowest computed polymorph = 0.19 eV/f.u.

abc: 2.7851 4.7655 6.8342
angles: 90.00 90.00 106.99
Sites, in units of the cell vectors:
C  0.5000  0.0000  0.5000
C  0.5000  0.0000  0.0000
C  0.7533  0.5066  0.7500
C  0.2467  0.4934  0.2500
Cr  0.4012  0.8023  0.7500
Cr  0.5988  0.1977  0.2500
Cr  0.1434  0.2868  0.5702
Cr  0.8566  0.7132  0.0702
Cr  0.1434  0.2868  0.9298
Cr  0.8566  0.7132  0.4298



No. 15
A geometry-optimized CrC3 structure. Source: Alexandria, functional GGA-PBEsol.

Calculated values
calculated formation energy = 2.203 eV per atom
symmetry = Pm-3m
ΔE to the lowest computed polymorph = 2.75 eV/f.u.

abc: 3.7173 3.7173 3.7173
angles: 90.00 90.00 90.00
Sites, in units of the cell vectors:
Cr  0.0000  0.0000  0.0000
C  0.5000  0.0000  0.0000
C  0.0000  0.5000  0.0000
C  0.0000  0.0000  0.5000



No. 16
A geometry-optimized CrC3 structure. Source: Alexandria, functional GGA-PBEsol.

Calculated values
calculated formation energy = 2.335 eV per atom
symmetry = P4/mmm
ΔE to the lowest computed polymorph = 3.28 eV/f.u.

abc: 2.5980 3.3186 3.3186
angles: 90.00 90.00 90.00
Sites, in units of the cell vectors:
Cr  0.5000  0.0000  0.0000
C  0.0000  0.0000  0.5000
C  0.5000  0.5000  0.5000
C  0.0000  0.5000  0.0000



No. 17
A geometry-optimized Cr2CuC2 structure. Source: Alexandria, functional GGA-PBEsol.

Calculated values
calculated formation energy = 0.344 eV per atom
symmetry = I4/mmm

abc: 3.3476 3.3476 4.6288
angles: 111.20 111.20 90.00
Sites, in units of the cell vectors:
Cr  0.2500  0.7500  0.5000
Cr  0.7500  0.2500  0.5000
C  0.4050  0.4050  0.8101
C  0.5950  0.5950  0.1899
Cu  0.0000  0.0000  0.0000



No. 18
A geometry-optimized NbCrCuC2 structure. Source: Alexandria, functional GGA-PBEsol.

Calculated values
calculated formation energy = 1.339 eV per atom
symmetry = P4/mmm

abc: 3.6914 3.6914 4.3731
angles: 90.00 90.00 90.00
Sites, in units of the cell vectors:
Cr  0.0000  0.0000  0.0000
Nb  0.5000  0.5000  0.5000
C  0.0000  0.5000  0.0000
C  0.5000  0.0000  0.0000
Cu  0.0000  0.0000  0.5000



No. 19
A geometry-optimized Er2Cr2C3 structure. Source: Alexandria, functional GGA-PBEsol.

Calculated values
calculated formation energy = -0.398 eV per atom
symmetry = C2/m

abc: 3.2971 5.4099 5.4605
angles: 105.32 90.00 107.74
Sites, in units of the cell vectors:
Cr  0.1560  0.3119  0.3874
Cr  0.8440  0.6881  0.6126
C  0.0000  0.0000  0.5000
C  0.7179  0.4357  0.2669
C  0.2821  0.5643  0.7331
Er  0.3930  0.7860  0.1832
Er  0.6070  0.2140  0.8168



No. 20
A geometry-optimized CrCN2F structure. Source: Alexandria, functional GGA-PBEsol.

Calculated values
symmetry = P4/mmm
energy relative to the elements, uncorrected = 1.1648 eV per atom

abc: 3.0315 3.0315 4.9124
angles: 90.00 90.00 90.00
Sites, in units of the cell vectors:
Cr  0.5000  0.5000  0.5000
C  0.0000  0.0000  0.0000
N  0.0000  0.5000  0.0000
N  0.5000  0.0000  0.0000
F  0.0000  0.0000  0.5000